(1)
Below is a geometry-optimized K2MgTlF structure, with properties calculated at the PBE-GGA level.

Cell lengths 6.8132, 6.8132, 5.2966 Å; angles 90.00, 90.00, 90.00 degrees
Closest atoms and distances in Å follow each position.
Space group P4/mmm (No. 123)
Unique sites:
K 0.0000 0.5000 0.0000  2 Mg 3.41
Mg 0.0000 0.0000 0.0000  2 Tl 2.65
Tl 0.0000 0.0000 0.5000  2 Mg 2.65
F 0.5000 0.5000 0.5000  8 K 4.31, 4 Tl 4.82

- ΔE_f (raw): -0.307 eV per atom
- E: -1.91 eV per atom

---

(2)
Below is a geometry-optimized KMg3Tl4F12 structure, with properties calculated at the PBE-GGA level.

Cell lengths 8.5682, 8.5682, 8.5682 Å; angles 90.00, 90.00, 90.00 degrees
Closest atoms and distances in Å follow each position.
Space group Im-3m (No. 229)
Unique sites:
K 0.0000 0.0000 0.0000  6 F 2.40
Mg 0.0000 0.0000 0.5000  2 F 1.89
Tl 0.2500 0.2500 0.2500  12 F 3.03-3.04
F 0.0000 0.0000 0.2798  1 Mg 1.89
F 0.0000 0.2500 0.5000  2 Mg 2.14

- ΔE_f (raw): -2.582 eV per atom
- E: -4.47 eV per atom

---

(3)
Below is a geometry-optimized K2TmMgF6 structure, with properties calculated at the PBE-GGA level.

Cell lengths 5.7992, 6.3934, 8.5731 Å; angles 90.00, 90.00, 90.00 degrees
Closest atoms and distances in Å follow each position.
Space group Immm (No. 71)
Unique sites:
K 0.0000 0.0000 0.2343  6 F 2.81-2.90
Tm 0.0000 0.5000 0.0000  6 F 2.19-2.26
Mg 0.0000 0.5000 0.5000  6 F 2.07-2.10
F 0.0000 0.5000 0.2552  1 Mg 2.10, 1 Tm 2.19
F 0.2378 0.2190 0.0000  1 Mg 2.07, 1 Tm 2.26

- ΔE_f (raw): -3.176 eV per atom
- E: -5.12 eV per atom

---

What did the first record say?
Below is a geometry-optimized K2MgTlF structure, with properties calculated at the PBE-GGA level.

Cell lengths 6.8132, 6.8132, 5.2966 Å; angles 90.00, 90.00, 90.00 degrees
Closest atoms and distances in Å follow each position.
Space group P4/mmm (No. 123)
Unique sites:
K 0.0000 0.5000 0.0000  2 Mg 3.41
Mg 0.0000 0.0000 0.0000  2 Tl 2.65
Tl 0.0000 0.0000 0.5000  2 Mg 2.65
F 0.5000 0.5000 0.5000  8 K 4.31, 4 Tl 4.82

- ΔE_f (raw): -0.307 eV per atom
- E: -1.91 eV per atom

---

- Number 1 is which compound?
  K2MgTlF

---

- Among the records above, which one has the highest ΔE_f (raw)?
  K2MgTlF